Density functional theory data (GGA-PBE) for an optimized crystal structure of CsTc3Rh.

Summary:
Space-group type = No. 221
N(E_F) = 7.95 states/eV per cell
Magnetic moment = 0.0 μB per formula unit
Total energy = -22.7 eV per cell
Relative energy among the computed polymorphs = 1.3729 eV/atom

abc: 4.7867 4.7867 4.7867
angles: 90.00 90.00 90.00
Atoms (fractional coordinates):
Tc  0.5000  0.0000  0.0000
Tc  0.0000  0.0000  0.5000
Tc  0.0000  0.5000  0.0000
Cs  0.0000  0.0000  0.0000
Rh  0.5000  0.5000  0.5000